1.
Material: Dy4GaHg3
Method: DFT, PBE
State: optimized geometry

Energy of formation from the pure elements ... -0.503 eV per atom

Lattice parameters (Å, degrees): 3.6719 3.6719 14.8514 90.00 90.00 90.00
Closest atoms and distances in Å follow each position.
Space group P4/mmm (No. 123)
Asymmetric unit:
Dy  0.0000  0.0000  0.1166 [2 per cell]  4 Ga 3.12, 4 Hg 3.22, 1 Dy 3.46
Dy  0.0000  0.0000  0.3722 [2 per cell]  8 Hg 3.21-3.22
Ga  0.5000  0.5000  0.0000 [1 per cell]  8 Dy 3.12
Hg  0.5000  0.5000  0.2451 [2 per cell]  8 Dy 3.21-3.22
Hg  0.5000  0.5000  0.5000 [1 per cell]  8 Dy 3.22

***

2.
Material: Dy3Ga2Hg6
Method: DFT, PBE
State: optimized geometry

Energy of formation from the pure elements ... -0.234 eV per atom

Lattice parameters (Å, degrees): 4.2177 4.2177 30.9694 90.00 90.00 90.00
Closest atoms and distances in Å follow each position.
Space group I4/mmm (No. 139)
Asymmetric unit:
Dy  0.0000  0.0000  0.0000 [2 per cell]  8 Hg 3.13
Dy  0.0000  0.0000  0.1686 [4 per cell]  4 Ga 3.10, 1 Hg 3.13
Ga  0.0000  0.0000  0.3586 [4 per cell]  5 Hg 2.75-2.95
Hg  0.0000  0.0000  0.2698 [4 per cell]  1 Ga 2.75
Hg  0.0000  0.5000  0.0748 [8 per cell]  2 Ga 2.95, 4 Hg 2.98, 2 Dy 3.13

***

3.
Material: Dy3Ga3Hg2
Method: DFT, PBE
State: optimized geometry

Energy of formation from the pure elements ... -0.528 eV per atom

Lattice parameters (Å, degrees): 4.4760 11.0901 14.6611 90.00 90.00 90.00
Closest atoms and distances in Å follow each position.
Space group Cmcm (No. 63)
Asymmetric unit:
Dy  0.0000  0.0760  0.1152 [8 per cell]  6 Ga 3.04-3.26, 3 Hg 3.22-3.26
Dy  0.0000  0.3497  0.2500 [4 per cell]  5 Ga 3.06-3.32, 4 Hg 3.25
Ga  0.0000  0.3713  0.7500 [4 per cell]  2 Hg 2.82, 5 Dy 3.04-3.09
Ga  0.0000  0.4023  0.0453 [8 per cell]  1 Ga 2.54, 2 Hg 2.71
Hg  0.0000  0.2166  0.5973 [8 per cell]  4 Ga 2.71-2.93

***

Final energy across the listed records, respectively: -26.36, -48.50, -110.87 eV per cell.